Compound: KMgMo
Source: the Alexandria database
Functional: PBE
Structure: optimized geometry

abc: 3.652 3.652 13.025
angles: 90.00 90.00 90.00
Space group I4mm (No. 107)
Unique sites:
1 K 0.000 0.000 0.000 [2 per cell]
2 Mg 0.000 0.000 0.715 [2 per cell]
3 Mo 0.000 0.000 0.296 [2 per cell]

Output
Its formation energy is 1.135 eV per atom. As for the size of the total moment: 1.01 μB per atom. For the volume, the calculation gives 29.0 Å³ per atom. The value obtained for the total energy is -3.373 eV per atom. The calculation puts the energy above the most stable polymorph in this dataset at 255.0 meV per atom.



Compound: K2MgMo
Source: the Alexandria database
Functional: PBE
Structure: optimized geometry

abc: 2.971 2.971 12.554
angles: 90.00 90.00 90.00
Space group P4/mmm (No. 123)
Unique sites:
1 K 0.000 0.000 0.231 [2 per cell]
2 Mg 0.500 0.500 0.500 [1 per cell]
3 Mo 0.500 0.500 0.000 [1 per cell]

Output
Its formation energy is 1.113 eV per atom. As for the size of the total moment: 0.12 μB per atom. For the volume, the calculation gives 27.7 Å³ per atom. The value obtained for the total energy is -2.542 eV per atom.



Compound: K4MgMo
Source: the Alexandria database
Functional: PBE
Structure: optimized geometry

abc: 10.468 10.468 10.468
angles: 90.00 90.00 90.00
Space group F-43m (No. 216)
Unique sites:
1 K 0.125 0.125 0.125 [16 per cell]
2 Mg 0.250 0.250 0.750 [4 per cell]
3 Mo 0.000 0.000 0.500 [4 per cell]

Output
Its formation energy is 1.050 eV per atom. As for the size of the total moment: 0.83 μB per atom. For the volume, the calculation gives 47.8 Å³ per atom. The value obtained for the total energy is -1.753 eV per atom.



Compound: KMgMo
Source: the Alexandria database
Functional: PBE
Structure: optimized geometry

abc: 2.778 4.806 12.437
angles: 90.00 90.00 90.00
Space group Imm2 (No. 44)
Unique sites:
1 K 0.000 0.000 0.000 [2 per cell]
2 Mg 0.000 0.000 0.717 [2 per cell]
3 Mo 0.000 0.000 0.285 [2 per cell]

Output
Its formation energy is 1.017 eV per atom. As for the size of the total moment: 0.62 μB per atom. For the volume, the calculation gives 27.7 Å³ per atom. The value obtained for the total energy is -3.491 eV per atom. The calculation puts the energy above the most stable polymorph in this dataset at 137.6 meV per atom.



Which of these has the highest size of the total moment?
number 1



Which value of size of the total moment does entry 3 give?
0.83 μB per atom